# FeMo2O10 (GGA+U, optimized geometry)
# Calculated volume ... 444 Å³ per cell
# D(E_F) ... 4.4 states/eV/f.u.
# E ... -6.439 eV/atom
data_FeMo2O10
_symmetry_space_group_name_H-M 'P 1'
_symmetry_Int_Tables_number 1
_cell_length_a 7.545
_cell_length_b 7.962
_cell_length_c 8.725
_cell_angle_alpha 121.17
_cell_angle_beta 90.89
_cell_angle_gamma 96.79
loop_
_symmetry_equiv_pos_as_xyz
'x,y,z'
loop_
_atom_site_label
_atom_site_fract_x
_atom_site_fract_y
_atom_site_fract_z
Fe1 0.066 0.141 0.324
Fe2 0.934 0.859 0.676
Mo1 0.745 0.748 0.257
Mo2 0.255 0.252 0.743
Mo3 0.930 0.325 0.056
Mo4 0.070 0.675 0.944
O1 0.367 0.661 0.527
O2 0.633 0.339 0.473
O3 0.545 0.247 0.326
O4 0.455 0.753 0.674
O5 0.859 0.006 0.351
O6 0.141 0.994 0.649
O7 0.523 0.765 0.238
O8 0.477 0.235 0.762
O9 0.781 0.744 0.467
O10 0.219 0.256 0.533
O11 0.725 0.436 0.120
O12 0.275 0.564 0.880
O13 0.974 0.365 0.836
O14 0.026 0.635 0.164
O15 0.182 0.311 0.985
O16 0.818 0.689 0.015
O17 0.999 0.316 0.253
O18 0.001 0.684 0.747
O19 0.846 0.065 0.888
O20 0.154 0.935 0.112